This record from the Alexandria database describes a relaxed structure of PaMoH2O8. The functional is GGA+U.

Geometry as POSCAR:
```
PaMoH2O8
1.0
-4.0700 -0.0707 2.5141
-0.7290 -4.2292 2.7574
3.1252 3.1835 5.4290
Pa Mo H O
1 1 2 8
Cartesian
1.5626 1.5918 2.7145 Pa
0.0000 0.0000 0.0000 Mo
0.4237 0.2471 6.9082 H
-2.0975 -1.3634 3.7922 H
-0.7630 -2.5964 3.6347 O
-3.1944 -3.7402 4.1068 O
-2.7093 -0.5785 3.8617 O
-0.9109 1.4801 7.0657 O
1.5206 2.6239 6.5936 O
1.0354 -0.5378 6.8387 O
-2.1339 -1.7694 6.8074 O
0.4601 0.6531 3.8930 O
```

Summary:
Total DFT energy (no corrections), eV per cell: -81.0